1.
Below is a relaxed structure of LiNbFePt, with properties calculated at the PBE-GGA level.

## Properties
As for the space group: F-43m, No. 216. Its final energy is -6.842 eV per atom. The value obtained for the density of states at the Fermi level is 1.33 states/eV/cell. The formation enthalpy at 0 K comes out at -0.88 eV/f.u.

Cell: 4.3016 4.3016 4.3016 Å, 60.00 60.00 60.00°
Sites, in units of the cell vectors:
Li 0.0000 0.0000 0.0000
Nb 0.5000 0.5000 0.5000
Fe 0.2500 0.2500 0.2500
Pt 0.7500 0.7500 0.7500

***

2.
Below is a relaxed structure of LiNbFeRh, with properties calculated at the PBE-GGA level.

## Properties
As for the space group: F-43m, No. 216. Its final energy is -7.043 eV per atom. The value obtained for the density of states at the Fermi level is 4.13 states/eV/cell. The formation enthalpy at 0 K comes out at -0.37 eV/f.u.

Cell: 4.2556 4.2556 4.2556 Å, 60.00 60.00 60.00°
Sites, in units of the cell vectors:
Li 0.0000 0.0000 0.0000
Nb 0.5000 0.5000 0.5000
Fe 0.2500 0.2500 0.2500
Rh 0.7500 0.7500 0.7500

***

3.
Below is a relaxed structure of LiNbFeRu, with properties calculated at the PBE-GGA level.

## Properties
As for the space group: F-43m, No. 216. Its final energy is -7.365 eV per atom. The value obtained for the density of states at the Fermi level is 4.53 states/eV/cell. The formation enthalpy at 0 K comes out at 0.26 eV/f.u.

Cell: 4.2715 4.2715 4.2715 Å, 60.00 60.00 60.00°
Sites, in units of the cell vectors:
Li 0.0000 0.0000 0.0000
Nb 0.5000 0.5000 0.5000
Fe 0.2500 0.2500 0.2500
Ru 0.7500 0.7500 0.7500

***

4.
Below is a relaxed structure of LiNbFeSi, with properties calculated at the PBE-GGA level.

## Properties
The value obtained for the raw formation energy is -422 meV/atom. As for the space group: F-43m, No. 216. Its final energy is -6.889 eV per atom. The value obtained for the density of states at the Fermi level is 0.00 states/eV/cell.

Cell: 4.1283 4.1283 4.1283 Å, 60.00 60.00 60.00°
Sites, in units of the cell vectors:
Li 0.0000 0.0000 0.0000
Nb 0.7500 0.7500 0.7500
Fe 0.5000 0.5000 0.5000
Si 0.2500 0.2500 0.2500

***

5.
Below is a relaxed structure of Li2TaNbFe, with properties calculated at the PBE-GGA level.

## Properties
As for the space group: P4/mmm, No. 123. Its final energy is -5.897 eV per atom. The value obtained for the density of states at the Fermi level is 3.48 states/eV/cell. The formation enthalpy at 0 K comes out at 4.73 eV/f.u.

Cell: 4.2303 4.2303 4.5137 Å, 90.00 90.00 90.00°
Sites, in units of the cell vectors:
Li 0.0000 0.5000 0.0000
Li 0.5000 0.0000 0.0000
Ta 0.0000 0.0000 0.5000
Nb 0.5000 0.5000 0.5000
Fe 0.0000 0.0000 0.0000

***

6.
Below is a relaxed structure of Li2NbFeTe, with properties calculated at the PBE-GGA level.

## Properties
The value obtained for the raw formation energy is 747 meV/atom. As for the space group: P4/mmm, No. 123. Its final energy is -4.353 eV per atom. The value obtained for the density of states at the Fermi level is 4.69 states/eV/cell.

Cell: 4.2801 4.2801 4.6546 Å, 90.00 90.00 90.00°
Sites, in units of the cell vectors:
Li 0.0000 0.5000 0.0000
Li 0.5000 0.0000 0.0000
Nb 0.0000 0.0000 0.5000
Fe 0.5000 0.5000 0.0000
Te 0.5000 0.5000 0.5000

***

Values for V, Å³/f.u., ordered as above
56.3 54.5 55.1 49.8 80.8 85.3